# 1
TbDyCo after structural relaxation. Source: Alexandria, functional PBE-GGA.

a = 4.692 Å, b = 4.692 Å, c = 4.692 Å
α = 60.00°, β = 60.00°, γ = 60.00°
Positions (direct):
Dy (0.000, 0.000, 0.000)
Co (0.250, 0.250, 0.250)
Tb (0.500, 0.500, 0.500)

Offset from the most stable computed form (meV/atom): 75
Size of the total moment (μB per cell): 0.000
Total DFT energy (no corrections) (eV/atom): -5.50
Energy relative to the elements (eV/atom): -0.049

***

# 2
TbDyCo3 after structural relaxation. Source: Alexandria, functional PBE-GGA.

a = 3.880 Å, b = 4.079 Å, c = 11.817 Å
α = 99.94°, β = 90.00°, γ = 90.00°
Site moments in Bohr magnetons follow the coordinates.
Positions (direct):
Dy (0.750, 0.204, 0.409)  -0.19
Dy (0.250, 0.796, 0.591)  -0.19
Co (0.750, 0.333, 0.665)  0.67
Co (0.750, 0.524, 0.048)  0.85
Co (0.250, 0.667, 0.335)  0.67
Co (0.250, 0.476, 0.952)  0.85
Co (0.750, 0.620, 0.241)  0.81
Co (0.250, 0.380, 0.759)  0.81
Tb (0.250, 0.070, 0.140)  -0.17
Tb (0.750, 0.930, 0.860)  -0.17

Size of the total moment (μB per cell): 3.658
Total DFT energy (no corrections) (eV/atom): -6.30
Energy relative to the elements (eV/atom): -0.194

***

# 3
TbDy2Co6 after structural relaxation. Source: Alexandria, functional PBE-GGA.

a = 4.041 Å, b = 6.661 Å, c = 6.661 Å
α = 120.00°, β = 90.00°, γ = 90.00°
Site moments in Bohr magnetons follow the coordinates.
Positions (direct):
Co (0.500, 0.666, 0.000)  0.85
Co (0.500, 0.334, 0.334)  0.85
Co (0.500, 0.334, 0.000)  0.85
Co (0.500, 0.666, 0.666)  0.85
Co (0.500, 0.000, 0.334)  0.85
Co (0.500, 0.000, 0.666)  0.85
Dy (0.000, 0.333, 0.667)  -0.18
Dy (0.000, 0.667, 0.333)  -0.18
Tb (0.000, 0.000, 0.000)  -0.17

Size of the total moment (μB per cell): 4.382
Total DFT energy (no corrections) (eV/atom): -6.45
Energy relative to the elements (eV/atom): -0.180

***

Copy entry 1 word for word.
TbDyCo after structural relaxation. Source: Alexandria, functional PBE-GGA.

a = 4.692 Å, b = 4.692 Å, c = 4.692 Å
α = 60.00°, β = 60.00°, γ = 60.00°
Positions (direct):
Dy (0.000, 0.000, 0.000)
Co (0.250, 0.250, 0.250)
Tb (0.500, 0.500, 0.500)

Offset from the most stable computed form (meV/atom): 75
Size of the total moment (μB per cell): 0.000
Total DFT energy (no corrections) (eV/atom): -5.50
Energy relative to the elements (eV/atom): -0.049